Entry 1:
The following is a PBE calculation of a geometry-optimized Dy2Ge5Rh3 structure, from the Alexandria database.

Lattice parameters (Å, degrees): 11.361 12.227 5.885 90.00 118.19 90.00
Space group C2/c (No. 15)
Unique sites:
Dy 0.231 0.139 0.237
Ge 0.000 0.013 0.250
Ge 0.000 0.278 0.250
Ge 0.000 0.293 0.750
Ge 0.170 0.405 0.169
Rh 0.000 0.498 0.750
Rh 0.097 0.142 0.625

Summary:
D(E_F)	18.54	states/eV/cell
energy above the most stable polymorph in this dataset	0.00	kcal/mol of atoms
crystal system	monoclinic
energy relative to the elements	-7.902	eV/f.u.


Entry 2:
The following is a PBE calculation of a geometry-optimized Dy3Ge2Rh structure, from the Alexandria database.

Lattice parameters (Å, degrees): 11.710 4.215 11.213 90.00 90.00 90.00
Space group Pnma (No. 62)
Unique sites:
Dy 0.052 0.250 0.129
Dy 0.122 0.750 0.554
Dy 0.225 0.250 0.799
Ge 0.007 0.750 0.311
Ge 0.187 0.750 0.004
Rh 0.131 0.250 0.371

Summary:
D(E_F)	12.22	states/eV/cell
crystal system	orthorhombic
energy relative to the elements	-5.356	eV/f.u.


Entry 3:
The following is a PBE calculation of a geometry-optimized Dy2Ge2Rh5 structure, from the Alexandria database.

Lattice parameters (Å, degrees): 4.177 4.177 8.934 90.00 90.00 90.00
Space group P4/mmm (No. 123)
Unique sites:
Dy 0.000 0.000 0.000
Dy 0.000 0.000 0.500
Ge 0.500 0.500 0.140
Rh 0.000 0.500 0.273
Rh 0.500 0.500 0.500

Summary:
D(E_F)	7.31	states/eV/cell
crystal system	tetragonal
energy relative to the elements	-6.694	eV/f.u.


Entry 4:
The following is a PBE calculation of a geometry-optimized DyGe12Rh4 structure, from the Alexandria database.

Lattice parameters (Å, degrees): 8.635 8.635 8.635 90.00 90.00 90.00
Space group Im-3 (No. 204)
Unique sites:
Dy 0.000 0.000 0.000
Ge 0.000 0.153 0.348
Rh 0.250 0.250 0.250

Summary:
D(E_F)	20.38	states/eV/cell
crystal system	cubic
energy relative to the elements	-4.356	eV/f.u.


Entry 5:
The following is a PBE calculation of a geometry-optimized Dy2Ge6Rh9 structure, from the Alexandria database.

Lattice parameters (Å, degrees): 5.6454 5.6454 11.1907 90.00 90.00 120.00
Space group P6/mmm (No. 191)
Unique sites:
Dy 0.0000 0.0000 0.2012
Ge 0.3333 0.6667 0.1652
Ge 0.3333 0.6667 0.5000
Rh 0.0000 0.5000 0.0000
Rh 0.0000 0.5000 0.3315

Summary:
D(E_F)	6.21	states/eV/cell
crystal system	hexagonal
energy relative to the elements	-10.486	eV/f.u.


Entry 6:
The following is a PBE calculation of a geometry-optimized Dy5GeRh2 structure, from the Alexandria database.

Lattice parameters (Å, degrees): 7.656 7.656 13.108 90.00 90.00 90.00
Space group I4/mcm (No. 140)
Unique sites:
Dy 0.000 0.000 0.000
Dy 0.161 0.339 0.141
Ge 0.000 0.000 0.250
Rh 0.137 0.363 0.500

Summary:
D(E_F)	29.80	states/eV/cell
crystal system	tetragonal
energy relative to the elements	-5.725	eV/f.u.


Entry 7:
The following is a PBE calculation of a geometry-optimized DyGe4Rh6 structure, from the Alexandria database.

Lattice parameters (Å, degrees): 7.2257 7.2257 3.8322 90.00 90.00 120.00
Space group P-6m2 (No. 187)
Unique sites:
Dy 0.0000 0.0000 0.0000
Ge 0.3333 0.6667 0.0000
Ge 0.3931 0.1966 0.5000
Rh 0.1981 0.3963 0.5000
Rh 0.5334 0.0668 0.0000

Summary:
D(E_F)	4.00	states/eV/cell
energy above the most stable polymorph in this dataset	0.00	kcal/mol of atoms
crystal system	hexagonal
energy relative to the elements	-8.249	eV/f.u.


Entry 8:
The following is a PBE calculation of a geometry-optimized Dy3Ge4Rh2 structure, from the Alexandria database.

Lattice parameters (Å, degrees): 10.779 4.281 8.208 90.00 108.99 90.00
Space group C2/m (No. 12)
Unique sites:
Dy 0.000 0.000 0.000
Dy 0.126 0.500 0.695
Ge 0.086 0.000 0.398
Ge 0.210 0.500 0.073
Rh 0.188 0.500 0.368

Summary:
D(E_F)	9.07	states/eV/cell
crystal system	monoclinic
energy relative to the elements	-8.011	eV/f.u.


Entry 9:
The following is a PBE calculation of a geometry-optimized Dy3Ge4Rh7 structure, from the Alexandria database.

Lattice parameters (Å, degrees): 15.398 4.069 9.347 90.00 124.88 90.00
Space group C2/m (No. 12)
Unique sites:
Dy 0.000 0.000 0.000
Dy 0.168 0.500 0.663
Ge 0.112 0.000 0.835
Ge 0.166 0.500 0.276
Rh 0.000 0.000 0.500
Rh 0.007 0.500 0.278
Rh 0.162 0.000 0.424
Rh 0.195 0.500 0.042

Summary:
D(E_F)	11.57	states/eV/cell
crystal system	monoclinic
energy relative to the elements	-12.331	eV/f.u.


Entry 10:
The following is a PBE calculation of a geometry-optimized DyGe4Rh6 structure, from the Alexandria database.

Lattice parameters (Å, degrees): 5.186 5.186 13.256 90.00 90.00 90.00
Space group I-42m (No. 121)
Unique sites:
Dy 0.000 0.000 0.000
Ge 0.194 0.194 0.637
Rh 0.000 0.500 0.000
Rh 0.222 0.222 0.820

Summary:
D(E_F)	15.17	states/eV/cell
energy above the most stable polymorph in this dataset	6.74	kcal/mol of atoms
crystal system	tetragonal
energy relative to the elements	-5.034	eV/f.u.